{
  "formula": "K2Cr3Cl2F6",
  "functional": "GGA+U",
  "state": "optimized geometry",
  "lattice_angstrom": [[-5.643, -0.541, 9.953], [-5.366, -2.276, -3.166], [-1.274, -7.406, -1.125]],
  "species": ["Cr", "Cr", "Cr", "Cr", "Cr", "Cr", "F", "F", "F", "F", "F", "F", "F", "F", "F", "F", "F", "F", "Cl", "Cl", "Cl", "Cl", "K", "K", "K", "K"],
  "frac_coords": [[0.000, 0.000, 0.000], [0.753, 0.840, 0.776], [0.247, 0.160, 0.224], [0.747, 0.840, 0.276], [0.500, 0.000, 0.500], [0.253, 0.160, 0.724], [0.084, 0.055, 0.208], [0.908, 0.737, 0.245], [0.408, 0.263, 0.255], [0.092, 0.263, 0.755], [0.813, 0.854, 0.516], [0.592, 0.737, 0.745], [0.916, 0.945, 0.792], [0.313, 0.146, 0.984], [0.416, 0.055, 0.708], [0.187, 0.146, 0.484], [0.687, 0.854, 0.016], [0.584, 0.945, 0.292], [0.171, 0.673, 0.023], [0.829, 0.327, 0.977], [0.329, 0.673, 0.523], [0.671, 0.327, 0.477], [0.550, 0.300, 0.858], [0.050, 0.700, 0.642], [0.950, 0.300, 0.358], [0.450, 0.700, 0.142]],
  "crystal_system": "monoclinic",
  "dft_energy_ev_per_cell": -141.5
}